Density functional theory data (PBEsol) for a relaxed KAlMo2 crystal.

## Properties
Calculated volume (Å³ per atom): 17.857
Total DFT energy (no corrections) (eV per atom): -6.0147
Space group: C2/m
Energy of formation (eV/atom): 1.18

```
4
Lattice="2.6434 0.0017 0.0000 -0.9655 5.4077 0.0000 -0.8390 -2.7047 4.9962" Properties=species:S:1:pos:R:3 pbc="T T T"
Mo 0.4195 1.3524 2.4981
Mo -0.4195 -1.3524 2.4981
K 1.3217 0.0009 0.0000
Al -0.4827 2.7039 0.0000
```